[1]
{
  "formula": "La4HgIr2",
  "functional": "GGA-PBE",
  "state": "relaxed",
  "dft_energy_ev_per_atom": -6.03,
  "m_tot_mub_per_cell": 0.0,
  "dos_at_fermi_per_ev_atom": 0.744,
  "formation_enthalpy_0k_ev_per_atom": -0.637,
  "rho_g_cm3": 8.4,
  "cell": [[2.116, 1.222, 14.517], [-2.116, 1.222, 14.517], [0.000, -2.443, 14.517]],
  "species": ["La", "La", "La", "La", "Hg", "Ir", "Ir"],
  "fractional_positions": [[0.125, 0.125, 0.125], [0.279, 0.279, 0.279], [0.721, 0.721, 0.721], [0.875, 0.875, 0.875], [0.000, 0.000, 0.000], [0.424, 0.424, 0.424], [0.576, 0.576, 0.576]]
}

***

[2]
{
  "formula": "CaPa2RhN5",
  "functional": "GGA-PBE",
  "state": "relaxed",
  "dft_energy_ev_per_atom": -8.76,
  "m_tot_mub_per_cell": 0.0,
  "dos_at_fermi_per_ev_atom": 0.099,
  "rho_g_cm3": 8.8,
  "e_form_raw_mev_per_atom": -989,
  "cell": [[-3.286, 3.286, 5.886], [3.286, -3.286, 5.886], [3.286, 3.286, -5.886]],
  "species": ["Ca", "Ca", "Pa", "Pa", "Pa", "Pa", "Rh", "Rh", "N", "N", "N", "N", "N", "N", "N", "N", "N", "N"],
  "fractional_positions": [[0.250, 0.250, 0.000], [0.750, 0.750, 0.000], [0.180, 0.680, 0.860], [0.320, 0.180, 0.500], [0.680, 0.820, 0.500], [0.820, 0.320, 0.140], [0.250, 0.750, 0.500], [0.750, 0.250, 0.500], [0.000, 0.000, 0.000], [0.015, 0.238, 0.500], [0.238, 0.738, 0.223], [0.262, 0.485, 0.500], [0.485, 0.985, 0.223], [0.500, 0.500, 0.000], [0.515, 0.015, 0.777], [0.738, 0.515, 0.500], [0.762, 0.262, 0.777], [0.985, 0.762, 0.500]]
}

***

[3]
{
  "formula": "Zr2In2Sn",
  "functional": "GGA-PBE",
  "state": "relaxed",
  "dft_energy_ev_per_atom": -5.36,
  "m_tot_mub_per_cell": 0.0,
  "dos_at_fermi_per_ev_atom": 0.885,
  "formation_enthalpy_0k_ev_per_atom": -0.049,
  "rho_g_cm3": 7.5,
  "cell": [[7.520, 0.000, 0.000], [0.000, 7.520, 0.000], [0.000, 0.000, 4.180]],
  "species": ["Zr", "Zr", "Zr", "Zr", "In", "In", "In", "In", "Sn", "Sn"],
  "fractional_positions": [[0.172, 0.328, 0.000], [0.328, 0.828, 0.000], [0.672, 0.172, 0.000], [0.828, 0.672, 0.000], [0.131, 0.631, 0.500], [0.369, 0.131, 0.500], [0.631, 0.869, 0.500], [0.869, 0.369, 0.500], [0.000, 0.000, 0.500], [0.500, 0.500, 0.500]]
}

***

[4]
{
  "formula": "AgOsPb2",
  "functional": "GGA-PBE",
  "state": "relaxed",
  "dft_energy_ev_per_atom": -4.71,
  "m_tot_mub_per_cell": 0.0,
  "dos_at_fermi_per_ev_atom": 0.699,
  "formation_enthalpy_0k_ev_per_atom": 0.660,
  "rho_g_cm3": 12.7,
  "cell": [[3.107, 0.000, 0.000], [0.000, 3.966, 0.000], [0.000, 0.000, 7.575]],
  "species": ["Ag", "Os", "Pb", "Pb"],
  "fractional_positions": [[0.000, 0.000, 0.000], [0.500, 0.500, 0.181], [0.000, 0.000, 0.390], [0.500, 0.500, 0.787]]
}

***

[5]
{
  "formula": "MgF",
  "functional": "GGA-PBE",
  "state": "relaxed",
  "dft_energy_ev_per_atom": -4.17,
  "m_tot_mub_per_cell": 0.0,
  "dos_at_fermi_per_ev_atom": 0.404,
  "rho_g_cm3": 2.2,
  "e_form_raw_mev_per_atom": -2441,
  "cell": [[3.145, 0.000, 0.000], [-1.573, 2.724, 0.000], [0.000, 0.000, 23.048]],
  "species": ["Mg", "Mg", "Mg", "Mg", "Mg", "Mg", "F", "F", "F", "F", "F", "F"],
  "fractional_positions": [[0.000, 0.000, 0.000], [0.000, 0.000, 0.500], [0.333, 0.667, 0.167], [0.333, 0.667, 0.667], [0.667, 0.333, 0.333], [0.667, 0.333, 0.833], [0.000, 0.000, 0.126], [0.000, 0.000, 0.874], [0.333, 0.667, 0.541], [0.333, 0.667, 0.793], [0.667, 0.333, 0.207], [0.667, 0.333, 0.459]]
}

***

[6]
{
  "formula": "Ca3CdHg8",
  "functional": "GGA-PBE",
  "state": "relaxed",
  "dft_energy_ev_per_atom": -1.09,
  "m_tot_mub_per_cell": 0.0,
  "dos_at_fermi_per_ev_atom": 0.433,
  "formation_enthalpy_0k_ev_per_atom": -0.315,
  "rho_g_cm3": 9.7,
  "cell": [[5.280, -5.575, 0.000], [5.280, 5.575, 0.000], [-2.688, 0.000, 5.328]],
  "species": ["Ca", "Ca", "Ca", "Cd", "Hg", "Hg", "Hg", "Hg", "Hg", "Hg", "Hg", "Hg"],
  "fractional_positions": [[0.000, 0.000, 0.000], [0.361, 0.790, 0.436], [0.790, 0.361, 0.436], [0.432, 0.432, 0.013], [0.000, 0.460, 0.072], [0.120, 0.120, 0.603], [0.162, 0.650, 0.771], [0.345, 0.345, 0.425], [0.460, 0.000, 0.072], [0.650, 0.162, 0.771], [0.666, 0.666, 0.833], [0.788, 0.788, 0.400]]
}

***

[7]
{
  "formula": "TcNi2Te",
  "functional": "GGA-PBE",
  "state": "relaxed",
  "dft_energy_ev_per_atom": -6.05,
  "m_tot_mub_per_cell": 0.0,
  "dos_at_fermi_per_ev_atom": 0.995,
  "rho_g_cm3": 9.9,
  "e_form_raw_mev_per_atom": 215,
  "cell": [[6.123, 0.000, 0.000], [0.000, 6.123, 0.000], [0.000, 0.000, 6.123]],
  "species": ["Tc", "Tc", "Tc", "Tc", "Ni", "Ni", "Ni", "Ni", "Ni", "Ni", "Ni", "Ni", "Te", "Te", "Te", "Te"],
  "fractional_positions": [[0.000, 0.000, 0.000], [0.000, 0.500, 0.500], [0.500, 0.000, 0.500], [0.500, 0.500, 0.000], [0.000, 0.000, 0.500], [0.000, 0.500, 0.000], [0.250, 0.250, 0.750], [0.250, 0.750, 0.250], [0.500, 0.000, 0.000], [0.500, 0.500, 0.500], [0.750, 0.250, 0.250], [0.750, 0.750, 0.750], [0.250, 0.250, 0.250], [0.250, 0.750, 0.750], [0.750, 0.250, 0.750], [0.750, 0.750, 0.250]]
}

***

[8]
{
  "formula": "CeAgS2",
  "functional": "GGA-PBE",
  "state": "relaxed",
  "dft_energy_ev_per_atom": -5.47,
  "m_tot_mub_per_cell": 3.0,
  "dos_at_fermi_per_ev_atom": 1.647,
  "rho_g_cm3": 5.8,
  "e_form_raw_mev_per_atom": -1209,
  "cell": [[4.191, 0.000, 0.000], [-2.095, 3.629, 0.000], [0.000, 0.000, 17.761]],
  "species": ["Ce", "Ce", "Ce", "Ag", "Ag", "Ag", "S", "S", "S", "S", "S", "S"],
  "fractional_positions": [[0.000, 0.000, 0.000], [0.333, 0.667, 0.667], [0.667, 0.333, 0.333], [0.000, 0.000, 0.500], [0.333, 0.667, 0.167], [0.667, 0.333, 0.833], [0.000, 0.000, 0.250], [0.000, 0.000, 0.750], [0.333, 0.667, 0.417], [0.333, 0.667, 0.916], [0.667, 0.333, 0.084], [0.667, 0.333, 0.583]]
}

***

Repeat the second record exactly.
{
  "formula": "CaPa2RhN5",
  "functional": "GGA-PBE",
  "state": "relaxed",
  "dft_energy_ev_per_atom": -8.76,
  "m_tot_mub_per_cell": 0.0,
  "dos_at_fermi_per_ev_atom": 0.099,
  "rho_g_cm3": 8.8,
  "e_form_raw_mev_per_atom": -989,
  "cell": [[-3.286, 3.286, 5.886], [3.286, -3.286, 5.886], [3.286, 3.286, -5.886]],
  "species": ["Ca", "Ca", "Pa", "Pa", "Pa", "Pa", "Rh", "Rh", "N", "N", "N", "N", "N", "N", "N", "N", "N", "N"],
  "fractional_positions": [[0.250, 0.250, 0.000], [0.750, 0.750, 0.000], [0.180, 0.680, 0.860], [0.320, 0.180, 0.500], [0.680, 0.820, 0.500], [0.820, 0.320, 0.140], [0.250, 0.750, 0.500], [0.750, 0.250, 0.500], [0.000, 0.000, 0.000], [0.015, 0.238, 0.500], [0.238, 0.738, 0.223], [0.262, 0.485, 0.500], [0.485, 0.985, 0.223], [0.500, 0.500, 0.000], [0.515, 0.015, 0.777], [0.738, 0.515, 0.500], [0.762, 0.262, 0.777], [0.985, 0.762, 0.500]]
}

***

Repeat the second record exactly.
{
  "formula": "CaPa2RhN5",
  "functional": "GGA-PBE",
  "state": "relaxed",
  "dft_energy_ev_per_atom": -8.76,
  "m_tot_mub_per_cell": 0.0,
  "dos_at_fermi_per_ev_atom": 0.099,
  "rho_g_cm3": 8.8,
  "e_form_raw_mev_per_atom": -989,
  "cell": [[-3.286, 3.286, 5.886], [3.286, -3.286, 5.886], [3.286, 3.286, -5.886]],
  "species": ["Ca", "Ca", "Pa", "Pa", "Pa", "Pa", "Rh", "Rh", "N", "N", "N", "N", "N", "N", "N", "N", "N", "N"],
  "fractional_positions": [[0.250, 0.250, 0.000], [0.750, 0.750, 0.000], [0.180, 0.680, 0.860], [0.320, 0.180, 0.500], [0.680, 0.820, 0.500], [0.820, 0.320, 0.140], [0.250, 0.750, 0.500], [0.750, 0.250, 0.500], [0.000, 0.000, 0.000], [0.015, 0.238, 0.500], [0.238, 0.738, 0.223], [0.262, 0.485, 0.500], [0.485, 0.985, 0.223], [0.500, 0.500, 0.000], [0.515, 0.015, 0.777], [0.738, 0.515, 0.500], [0.762, 0.262, 0.777], [0.985, 0.762, 0.500]]
}